Entry 1:
First-principles (PBE) data for crystalline AgAs2OsSe at its relaxed geometry, as listed in the Alexandria database.

Values from the calculation:
ΔE to the lowest computed polymorph = 1107.3 meV/atom
size of the total moment = 0.00 μB/f.u.
formation energy (no corrections) = 1.766 eV per atom

```
data_AgAs2OsSe
_chemical_formula_sum 'Ag1 As2 Os1 Se1'
_cell_length_a 4.8212
_cell_length_b 4.8212
_cell_length_c 4.8923
_cell_angle_alpha 90.00
_cell_angle_beta 90.00
_cell_angle_gamma 90.00
_symmetry_space_group_name_H-M 'P 4/m m m'
_symmetry_Int_Tables_number 123
_symmetry_space_group_name_Hall '-P 4 2'
loop_
_atom_site_label
_atom_site_fract_x
_atom_site_fract_y
_atom_site_fract_z
Ag1 0.0000 0.0000 0.0000
As1 0.0000 0.5000 0.0000
Os1 0.5000 0.5000 0.5000
Se1 0.0000 0.0000 0.5000
```



Entry 2:
First-principles (PBE) data for crystalline Ho4CrS7 at its relaxed geometry, as listed in the Alexandria database.

Values from the calculation:
size of the total moment = 3.71 μB/f.u.
formation energy (no corrections) = -1.770 eV per atom

```
data_Ho4CrS7
_chemical_formula_sum 'Ho8 Cr2 S14'
_cell_length_a 12.3810
_cell_length_b 3.7863
_cell_length_c 11.3951
_cell_angle_alpha 90.00
_cell_angle_beta 106.24
_cell_angle_gamma 90.00
_symmetry_space_group_name_H-M 'C 1 m 1'
_symmetry_Int_Tables_number 8
loop_
_symmetry_equiv_pos_as_xyz
'x,y,z'
'x,-y,z'
'x+1/2,y+1/2,z'
'x+1/2,-y+1/2,z'
loop_
_atom_site_label
_atom_site_fract_x
_atom_site_fract_y
_atom_site_fract_z
Ho1 0.0000 0.0000 0.0000
Ho2 0.0683 0.5000 0.3426
Ho3 0.1948 0.5000 0.7851
Ho4 0.3863 0.0000 0.5866
Cr1 0.2967 0.5000 0.2020
S1 0.0338 0.0000 0.7245
S2 0.1587 0.5000 0.0063
S3 0.1757 0.0000 0.2525
S4 0.2251 0.5000 0.5615
S5 0.3583 0.0000 0.8353
S6 0.4082 0.0000 0.1332
S7 0.4335 0.5000 0.4115
```



Repeat the first record exactly.
First-principles (PBE) data for crystalline AgAs2OsSe at its relaxed geometry, as listed in the Alexandria database.

Values from the calculation:
ΔE to the lowest computed polymorph = 1107.3 meV/atom
size of the total moment = 0.00 μB/f.u.
formation energy (no corrections) = 1.766 eV per atom

```
data_AgAs2OsSe
_chemical_formula_sum 'Ag1 As2 Os1 Se1'
_cell_length_a 4.8212
_cell_length_b 4.8212
_cell_length_c 4.8923
_cell_angle_alpha 90.00
_cell_angle_beta 90.00
_cell_angle_gamma 90.00
_symmetry_space_group_name_H-M 'P 4/m m m'
_symmetry_Int_Tables_number 123
_symmetry_space_group_name_Hall '-P 4 2'
loop_
_atom_site_label
_atom_site_fract_x
_atom_site_fract_y
_atom_site_fract_z
Ag1 0.0000 0.0000 0.0000
As1 0.0000 0.5000 0.0000
Os1 0.5000 0.5000 0.5000
Se1 0.0000 0.0000 0.5000
```



What did the first record say?
First-principles (PBE) data for crystalline AgAs2OsSe at its relaxed geometry, as listed in the Alexandria database.

Values from the calculation:
ΔE to the lowest computed polymorph = 1107.3 meV/atom
size of the total moment = 0.00 μB/f.u.
formation energy (no corrections) = 1.766 eV per atom

```
data_AgAs2OsSe
_chemical_formula_sum 'Ag1 As2 Os1 Se1'
_cell_length_a 4.8212
_cell_length_b 4.8212
_cell_length_c 4.8923
_cell_angle_alpha 90.00
_cell_angle_beta 90.00
_cell_angle_gamma 90.00
_symmetry_space_group_name_H-M 'P 4/m m m'
_symmetry_Int_Tables_number 123
_symmetry_space_group_name_Hall '-P 4 2'
loop_
_atom_site_label
_atom_site_fract_x
_atom_site_fract_y
_atom_site_fract_z
Ag1 0.0000 0.0000 0.0000
As1 0.0000 0.5000 0.0000
Os1 0.5000 0.5000 0.5000
Se1 0.0000 0.0000 0.5000
```



What did the second record say?
First-principles (PBE) data for crystalline Ho4CrS7 at its relaxed geometry, as listed in the Alexandria database.

Values from the calculation:
size of the total moment = 3.71 μB/f.u.
formation energy (no corrections) = -1.770 eV per atom

```
data_Ho4CrS7
_chemical_formula_sum 'Ho8 Cr2 S14'
_cell_length_a 12.3810
_cell_length_b 3.7863
_cell_length_c 11.3951
_cell_angle_alpha 90.00
_cell_angle_beta 106.24
_cell_angle_gamma 90.00
_symmetry_space_group_name_H-M 'C 1 m 1'
_symmetry_Int_Tables_number 8
loop_
_symmetry_equiv_pos_as_xyz
'x,y,z'
'x,-y,z'
'x+1/2,y+1/2,z'
'x+1/2,-y+1/2,z'
loop_
_atom_site_label
_atom_site_fract_x
_atom_site_fract_y
_atom_site_fract_z
Ho1 0.0000 0.0000 0.0000
Ho2 0.0683 0.5000 0.3426
Ho3 0.1948 0.5000 0.7851
Ho4 0.3863 0.0000 0.5866
Cr1 0.2967 0.5000 0.2020
S1 0.0338 0.0000 0.7245
S2 0.1587 0.5000 0.0063
S3 0.1757 0.0000 0.2525
S4 0.2251 0.5000 0.5615
S5 0.3583 0.0000 0.8353
S6 0.4082 0.0000 0.1332
S7 0.4335 0.5000 0.4115
```